# Zr4Os2Rh | Alexandria via LeMat-Bulk | GGA-PBE | relaxed
data_Zr4Os2Rh
_chemical_formula_sum 'Zr12 Os6 Rh3'
_cell_length_a 4.6190
_cell_length_b 4.6190
_cell_length_c 22.4211
_cell_angle_alpha 90.00
_cell_angle_beta 90.00
_cell_angle_gamma 120.00
_space_group_name_H-M_alt 'R -3 m'
_space_group_IT_number 166
_space_group_name_Hall '-R 3 2"'
loop_
_atom_site_label
_atom_site_type_symbol
_atom_site_fract_x
_atom_site_fract_y
_atom_site_fract_z
Zr1 Zr 0.0000 0.0000 0.1212
Zr2 Zr 0.0000 0.0000 0.3715
Os1 Os 0.0000 0.0000 0.2488
Rh1 Rh 0.0000 0.0000 0.5000
# **Formation enthalpy at 0 K**: -521.9 meV/atom
# **DOS at the Fermi energy**: 9.3 states/eV per cell